PmNbSi2Ru: optimized geometry, PBE.

```
data_PmNbSi2Ru
_chemical_formula_sum 'Pm2 Nb2 Si4 Ru2'
_cell_length_a 4.074
_cell_length_b 4.074
_cell_length_c 11.046
_cell_angle_alpha 90.00
_cell_angle_beta 90.00
_cell_angle_gamma 90.00
_symmetry_space_group_name_H-M 'I -4 m 2'
_symmetry_Int_Tables_number 119
_symmetry_space_group_name_Hall 'I -4 -2'
loop_
_atom_site_label
_atom_site_fract_x
_atom_site_fract_y
_atom_site_fract_z
Pm1 0.000 0.000 0.000
Nb1 0.000 0.500 0.750
Si1 0.000 0.000 0.389
Ru1 0.000 0.500 0.250
```

The total magnetization comes out at 0.00 μB/f.u. The crystal system is tetragonal. The calculation puts the volume at 183 Å³/cell. As for the uncorrected formation energy: -0.670 eV per atom.